No. 1
The following is a PBE calculation of a relaxed structure of Pr5Rh2Au2, from Alexandria.

## Properties
Energy in eV/f.u.: -51.04
DFT formation energy in eV per atom: -0.65

The structure in extended XYZ format:
```
18
Lattice="-3.6640 6.9299 -0.9642 -4.9765 -3.3320 -5.0375 -2.3383 -0.0633 8.4307" Properties=species:S:1:pos:R:3 pbc="T T T"
Pr -3.5075 -0.3674 -0.2872
Pr -4.5570 3.6215 0.0228
Au -6.3234 1.0812 -0.5472
Au -4.6553 2.4534 2.9762
Rh -6.6356 1.4674 -4.9881
Pr -7.6340 3.0692 -2.6509
Pr -6.5846 -0.9198 -2.9609
Pr 0.0000 0.0000 0.0000
Pr -3.3447 0.4654 5.0799
Pr -4.3202 1.7990 -3.0008
Au -5.3116 -2.6776 0.9395
Rh -5.0276 4.7982 -2.7009
Pr -4.3941 4.4543 5.3899
Pr -7.4712 3.9020 2.7162
Au -2.0032 -0.7177 2.4537
Rh -2.0049 2.1305 -1.0136
Rh -3.6129 -1.2003 -3.3007
Pr -6.4218 -0.0869 2.4062
```

=====

No. 2
The following is a PBE calculation of a relaxed structure of Pr6Rh5Au, from Alexandria.

## Properties
Energy in eV/f.u.: -76.25
Offset from the most stable computed form in meV/atom: 0
DFT formation energy in eV per atom: -0.63

The structure in extended XYZ format:
```
12
Lattice="4.9674 0.0022 -1.0413 -0.0033 7.2493 -0.0009 -0.9553 0.0004 7.9577" Properties=species:S:1:pos:R:3 pbc="T T T"
Pr 1.5259 5.3792 7.4363
Rh 2.9852 3.6264 1.9529
Pr 0.5177 1.8350 2.5291
Rh 1.0236 3.6255 4.9626
Rh -0.0017 3.6247 -0.0004
Pr 2.4829 1.8727 -0.5208
Au 0.0000 0.0000 0.0000
Rh 1.0201 0.0011 4.9597
Pr 0.5160 5.4155 2.5286
Pr 3.4928 1.8365 4.3869
Rh 2.9887 7.2508 1.9558
Pr 3.4910 5.4169 4.3864
```

=====

No. 3
The following is a PBE calculation of a relaxed structure of Pr6Rh5Au, from Alexandria.

## Properties
Energy in eV/f.u.: -75.27
Offset from the most stable computed form in meV/atom: 82
DFT formation energy in eV per atom: -0.55

The structure in extended XYZ format:
```
12
Lattice="-2.7330 6.8453 -0.3455 -2.7487 0.7374 -6.7448 -6.5546 -1.6039 -1.4769" Properties=species:S:1:pos:R:3 pbc="T T T"
Rh -3.3183 -0.3715 -2.6611
Pr -4.5765 1.7314 -4.3680
Au 0.0000 0.0000 0.0000
Rh -5.4805 3.6401 -6.4179
Rh -2.7408 3.7913 -3.5451
Pr -4.5317 4.4704 -1.3953
Pr -1.3962 1.7415 -2.0034
Pr -4.0855 5.8412 -5.0868
Pr -7.5045 1.5085 -7.1719
Rh -5.9850 -0.4949 -5.5606
Rh -6.5557 2.3387 -2.1492
Pr -7.4598 4.2474 -4.1992
```

=====

No. 4
The following is a PBE calculation of a relaxed structure of Pr5Rh2Au5, from Alexandria.

## Properties
Energy in eV/f.u.: -63.55
DFT formation energy in eV per atom: -0.71

The structure in extended XYZ format:
```
12
Lattice="-2.6558 2.1985 -2.3154 -6.9366 -5.1598 -0.6675 -4.3641 4.9012 5.9351" Properties=species:S:1:pos:R:3 pbc="T T T"
Pr -5.6504 -0.1293 2.6338
Au -8.1577 4.5550 2.5084
Au -4.9082 2.3022 0.3666
Rh -6.2521 -0.0131 -0.2904
Au -9.0484 -0.3622 2.5856
Au -5.7989 -2.6151 0.4439
Au 0.0000 0.0000 0.0000
Rh -7.7045 1.9530 3.2426
Pr -5.1243 4.3911 2.5980
Pr -8.8323 -2.4512 0.3542
Pr -3.3632 -0.5236 -0.3641
Pr -10.5934 2.4635 3.3163
```

=====

No. 5
The following is a PBE calculation of a relaxed structure of Pr4RhAu, from Alexandria.

## Properties
Energy in eV/f.u.: -32.57
Offset from the most stable computed form in meV/atom: 2
DFT formation energy in eV per atom: -0.47

The structure in extended XYZ format:
```
12
Lattice="6.6259 0.0000 0.0000 0.0000 7.2307 0.0000 0.0000 0.0000 7.2307" Properties=species:S:1:pos:R:3 pbc="T T T"
Pr 0.0000 4.8396 5.8862
Pr 0.0000 2.3910 1.3444
Rh 1.6565 3.6153 3.6153
Au 4.9694 0.0000 0.0000
Pr 0.0000 1.3444 4.8396
Pr 3.3129 5.8862 4.8396
Pr 3.3129 2.3910 5.8862
Pr 3.3129 4.8396 1.3444
Rh 4.9694 3.6153 3.6153
Pr 0.0000 5.8862 2.3910
Pr 3.3129 1.3444 2.3910
Au 1.6565 0.0000 0.0000
```

=====

No. 6
The following is a PBE calculation of a relaxed structure of Pr2RhAu3, from Alexandria.

## Properties
Energy in eV/f.u.: -30.65
DFT formation energy in eV per atom: -0.65

The structure in extended XYZ format:
```
6
Lattice="3.7587 0.0000 0.0000 0.0000 4.8884 0.0000 0.0000 0.0000 7.7798" Properties=species:S:1:pos:R:3 pbc="T T T"
Au 1.8793 0.0000 6.4389
Rh 1.8793 2.4442 2.4311
Pr 0.0000 2.4442 0.2057
Au 1.8793 0.0000 1.3935
Au 1.8793 2.4442 5.1407
Pr 0.0000 0.0000 3.8395
```

=====

Question: Number 6 is which compound?
Answer: Pr2RhAu3

=====

Question: Among the records above, which one has the highest energy?
Answer: Pr2RhAu3

=====

Question: Which of these has the highest DFT formation energy?
Answer: Pr4RhAu

=====

Question: The lowest energy belongs to which entry?
Answer: number 2